(1)
# AcTb4Pr10 PBE relaxed
# D(E_F)   26.2 states/eV/f.u.
# Crystal system   tetragonal
# Total DFT energy (no corrections)   -4.231 eV per atom
data_AcTb4Pr10
_space_group_name_H-M_alt 'P 1'
_space_group_IT_number 1
_space_group_name_Hall 'P 1'
_cell_length_a 9.7648
_cell_length_b 9.7648
_cell_length_c 9.7648
_cell_angle_alpha 97.44
_cell_angle_beta 97.44
_cell_angle_gamma 137.83
loop_
_atom_site_label
_atom_site_fract_x
_atom_site_fract_y
_atom_site_fract_z
Ac1 0.0000 0.0000 0.0000
Tb1 0.3220 0.5674 0.8895
Tb2 0.4326 0.3220 0.7546
Tb3 0.5674 0.6780 0.2454
Tb4 0.6780 0.4326 0.1105
Pr1 0.0431 0.8821 0.4187
Pr2 0.1179 0.5366 0.1610
Pr3 0.2500 0.7500 0.5000
Pr4 0.3756 0.9569 0.8390
Pr5 0.4634 0.6244 0.5813
Pr6 0.5366 0.3756 0.4187
Pr7 0.6244 0.0431 0.1610
Pr8 0.7500 0.2500 0.5000
Pr9 0.8821 0.4634 0.8390
Pr10 0.9569 0.1179 0.5813



(2)
# MgCdSi2 PBE relaxed
# D(E_F)   1.8 states/eV/f.u.
# Crystal system   monoclinic
# Total DFT energy (no corrections)   -3.042 eV per atom
data_MgCdSi2
_space_group_name_H-M_alt 'P 1'
_space_group_IT_number 1
_space_group_name_Hall 'P 1'
_cell_length_a 5.8386
_cell_length_b 8.1202
_cell_length_c 3.1474
_cell_angle_alpha 90.00
_cell_angle_beta 90.37
_cell_angle_gamma 90.00
loop_
_atom_site_label
_atom_site_fract_x
_atom_site_fract_y
_atom_site_fract_z
Mg1 0.0000 0.0000 0.0000
Mg2 0.5000 0.5000 0.0000
Cd1 0.0000 0.5000 0.0000
Cd2 0.5000 0.0000 0.0000
Si1 0.2500 0.2500 0.5000
Si2 0.2500 0.7500 0.5000
Si3 0.7500 0.2500 0.5000
Si4 0.7500 0.7500 0.5000



(3)
# PmNb2CoN4 PBE relaxed
# D(E_F)   2.5 states/eV/f.u.
# Crystal system   orthorhombic
# Total DFT energy (no corrections)   -9.096 eV per atom
data_PmNb2CoN4
_space_group_name_H-M_alt 'P 1'
_space_group_IT_number 1
_space_group_name_Hall 'P 1'
_cell_length_a 5.6225
_cell_length_b 5.6225
_cell_length_c 10.8508
_cell_angle_alpha 90.00
_cell_angle_beta 90.00
_cell_angle_gamma 147.14
loop_
_atom_site_label
_atom_site_fract_x
_atom_site_fract_y
_atom_site_fract_z
Pm1 0.1077 0.8923 0.7500
Pm2 0.8923 0.1077 0.2500
Nb1 0.3688 0.6312 0.5576
Nb2 0.3688 0.6312 0.9424
Nb3 0.6312 0.3688 0.0576
Nb4 0.6312 0.3688 0.4424
Co1 0.1579 0.8421 0.2500
Co2 0.8421 0.1579 0.7500
N1 0.0000 0.0000 0.0000
N2 0.0000 0.0000 0.5000
N3 0.2715 0.7285 0.1124
N4 0.2715 0.7285 0.3876
N5 0.4431 0.5569 0.7500
N6 0.5569 0.4431 0.2500
N7 0.7285 0.2715 0.6124
N8 0.7285 0.2715 0.8876



(4)
# Na2ThTl2Te4 PBE relaxed
# Crystal system   monoclinic
# Total DFT energy (no corrections)   -3.827 eV per atom
data_Na2ThTl2Te4
_space_group_name_H-M_alt 'P 1'
_space_group_IT_number 1
_space_group_name_Hall 'P 1'
_cell_length_a 9.5713
_cell_length_b 9.5713
_cell_length_c 8.4675
_cell_angle_alpha 115.99
_cell_angle_beta 115.99
_cell_angle_gamma 28.52
loop_
_atom_site_label
_atom_site_fract_x
_atom_site_fract_y
_atom_site_fract_z
Na1 0.1684 0.1684 0.4079
Na2 0.8316 0.8316 0.5921
Th1 0.5000 0.5000 0.0000
Tl1 0.3413 0.3413 0.2246
Tl2 0.6587 0.6587 0.7754
Te1 0.0149 0.0149 0.7669
Te2 0.3073 0.3073 0.8024
Te3 0.6927 0.6927 0.1976
Te4 0.9851 0.9851 0.2331



(5)
# Tb2NpMnN5 PBE relaxed
# D(E_F)   6.6 states/eV/f.u.
# Crystal system   orthorhombic
# Total DFT energy (no corrections)   -9.177 eV per atom
data_Tb2NpMnN5
_space_group_name_H-M_alt 'P 1'
_space_group_IT_number 1
_space_group_name_Hall 'P 1'
_cell_length_a 6.8713
_cell_length_b 6.8713
_cell_length_c 10.1542
_cell_angle_alpha 90.00
_cell_angle_beta 90.00
_cell_angle_gamma 151.23
loop_
_atom_site_label
_atom_site_fract_x
_atom_site_fract_y
_atom_site_fract_z
Tb1 0.1030 0.8970 0.5000
Tb2 0.1333 0.8667 0.1310
Tb3 0.8667 0.1333 0.6310
Tb4 0.8970 0.1030 0.0000
Np1 0.2049 0.7951 0.8313
Np2 0.7951 0.2049 0.3313
Mn1 0.4780 0.5220 0.2718
Mn2 0.5220 0.4780 0.7718
N1 0.0378 0.9622 0.8464
N2 0.2846 0.7154 0.4707
N3 0.3207 0.6793 0.2026
N4 0.3694 0.6306 0.8161
N5 0.4912 0.5088 0.5972
N6 0.5088 0.4912 0.0972
N7 0.6306 0.3694 0.3161
N8 0.6793 0.3207 0.7026
N9 0.7154 0.2846 0.9707
N10 0.9622 0.0378 0.3464



(6)
# RbTlZn2Cd PBE relaxed
# D(E_F)   2.3 states/eV/f.u.
# Crystal system   tetragonal
# Total DFT energy (no corrections)   -1.104 eV per atom
data_RbTlZn2Cd
_space_group_name_H-M_alt 'P 1'
_space_group_IT_number 1
_space_group_name_Hall 'P 1'
_cell_length_a 5.4313
_cell_length_b 5.4313
_cell_length_c 6.0839
_cell_angle_alpha 90.00
_cell_angle_beta 90.00
_cell_angle_gamma 90.00
loop_
_atom_site_label
_atom_site_fract_x
_atom_site_fract_y
_atom_site_fract_z
Rb1 0.0000 0.0000 0.0000
Tl1 0.5000 0.5000 0.5000
Zn1 0.0000 0.5000 0.5000
Zn2 0.5000 0.0000 0.5000
Cd1 0.5000 0.5000 0.0000



(7)
# Eu2PdO PBE relaxed
# D(E_F)   6.0 states/eV/f.u.
# Crystal system   tetragonal
# Total DFT energy (no corrections)   -9.028 eV per atom
data_Eu2PdO
_space_group_name_H-M_alt 'P 1'
_space_group_IT_number 1
_space_group_name_Hall 'P 1'
_cell_length_a 3.2646
_cell_length_b 3.2646
_cell_length_c 7.1731
_cell_angle_alpha 90.00
_cell_angle_beta 90.00
_cell_angle_gamma 90.00
loop_
_atom_site_label
_atom_site_fract_x
_atom_site_fract_y
_atom_site_fract_z
Eu1 0.0000 0.0000 0.2102
Eu2 0.0000 0.0000 0.7898
Pd1 0.5000 0.5000 0.5000
O1 0.5000 0.5000 0.0000



(8)
# RbSnB PBE relaxed
# D(E_F)   0.9 states/eV/f.u.
# Crystal system   monoclinic
# Total DFT energy (no corrections)   -3.643 eV per atom
data_RbSnB
_space_group_name_H-M_alt 'P 1'
_space_group_IT_number 1
_space_group_name_Hall 'P 1'
_cell_length_a 14.9573
_cell_length_b 5.1865
_cell_length_c 5.1489
_cell_angle_alpha 90.00
_cell_angle_beta 99.92
_cell_angle_gamma 90.00
loop_
_atom_site_label
_atom_site_fract_x
_atom_site_fract_y
_atom_site_fract_z
Rb1 0.1584 0.0000 0.1860
Rb2 0.3416 0.5000 0.8140
Rb3 0.6584 0.5000 0.1860
Rb4 0.8416 0.0000 0.8140
Sn1 0.0602 0.5000 0.7636
Sn2 0.4398 0.0000 0.2364
Sn3 0.5602 0.0000 0.7636
Sn4 0.9398 0.5000 0.2364
B1 0.0000 0.1514 0.5000
B2 0.0000 0.8486 0.5000
B3 0.5000 0.3486 0.5000
B4 0.5000 0.6514 0.5000



(9)
# Te3PPd PBE relaxed
# D(E_F)   5.6 states/eV/f.u.
# Crystal system   cubic
# Total DFT energy (no corrections)   -3.283 eV per atom
data_Te3PPd
_space_group_name_H-M_alt 'P 1'
_space_group_IT_number 1
_space_group_name_Hall 'P 1'
_cell_length_a 5.2281
_cell_length_b 5.2281
_cell_length_c 5.2281
_cell_angle_alpha 90.00
_cell_angle_beta 90.00
_cell_angle_gamma 90.00
loop_
_atom_site_label
_atom_site_fract_x
_atom_site_fract_y
_atom_site_fract_z
Te1 0.0000 0.0000 0.5000
Te2 0.0000 0.5000 0.0000
Te3 0.5000 0.0000 0.0000
P1 0.5000 0.5000 0.5000
Pd1 0.0000 0.0000 0.0000



no.,V (A^3/atom),calculated density (g/cm³)
1,38.9,6.468
2,18.7,4.293
3,11.6,7.955
4,36.7,6.019
5,12.8,9.784
6,35.9,4.932
7,19.1,9.261
8,32.8,3.629
9,28.6,6.045